Entry 1:
VASP calculation (PBE-GGA) on a relaxed structure of CdNi2Ag.

Cell lengths 6.8328, 6.8328, 6.8328 Å; angles 131.35, 131.35, 71.25 degrees
Fractional positions:
Cd 0.0000 0.0000 0.0000
Cd 0.7500 0.2500 0.5000
Ni 0.1367 0.6250 0.0117
Ni 0.3750 0.3867 0.5117
Ni 0.6133 0.1250 0.9883
Ni 0.8750 0.8633 0.4883
Ag 0.2500 0.7500 0.5000
Ag 0.5000 0.5000 0.0000

Calculated values
Energy = -2.657 eV per atom

***

Entry 2:
VASP calculation (PBE-GGA) on a relaxed structure of CdNi2Ag.

Cell lengths 4.1755, 5.2857, 5.2857 Å; angles 30.93, 90.00, 90.00 degrees
Fractional positions:
Cd 0.0000 0.0000 0.0000
Ni 0.0000 0.7309 0.7309
Ni 0.5000 0.6102 0.6102
Ag 0.5000 0.3383 0.3383

Calculated values
Energy = -3.653 eV per atom

***

Entry 3:
VASP calculation (PBE-GGA) on a relaxed structure of CdNiAg2.

Cell lengths 4.9393, 4.9393, 2.9211 Å; angles 90.00, 90.00, 109.27 degrees
Fractional positions:
Cd 0.0000 0.0000 0.0000
Ni 0.5000 0.5000 0.0000
Ag 0.0000 0.5000 0.5000
Ag 0.5000 0.0000 0.5000

Calculated values
Energy = -2.941 eV per atom

***

| no. | volume (Å³ per cell) |
| --- | --- |
| 1 | 176.0 |
| 2 | 60.0 |
| 3 | 67.3 |